[1]
Density functional theory data (PBE) for a relaxed structure of Ni7B3.

Computed properties:
Raw total energy   -6.171 eV per atom

Cell lengths 6.9931, 6.9931, 4.3686 Å; angles 90.00, 90.00, 120.00 degrees
Element x y z (fractional)
Ni  0.0876  0.5438  0.0000
Ni  0.1237  0.2475  0.3084
Ni  0.1237  0.8763  0.3084
Ni  0.2475  0.1237  0.8084
Ni  0.3333  0.6667  0.5038
Ni  0.4562  0.5438  0.0000
Ni  0.4562  0.9124  0.0000
Ni  0.5438  0.0876  0.5000
Ni  0.5438  0.4562  0.5000
Ni  0.6667  0.3333  0.0038
Ni  0.7525  0.8763  0.3084
Ni  0.8763  0.1237  0.8084
Ni  0.8763  0.7525  0.8084
Ni  0.9124  0.4562  0.5000
B  0.1888  0.3776  0.7296
B  0.1888  0.8112  0.7296
B  0.3776  0.1888  0.2296
B  0.6224  0.8112  0.7296
B  0.8112  0.1888  0.2296
B  0.8112  0.6224  0.2296



[2]
Density functional theory data (PBE) for a relaxed structure of Tb3Mg3Cd2.

Computed properties:
Raw total energy   -2.728 eV per atom
Energy above the lowest structure with this stoichiometry   0.0 meV per atom

Cell lengths 6.4766, 5.2084, 6.5685 Å; angles 90.00, 113.58, 90.00 degrees
Element x y z (fractional)
Tb  0.0000  0.0000  0.0000
Tb  0.2030  0.5000  0.7612
Tb  0.6363  0.5000  0.2917
Mg  0.4518  0.0000  0.5174
Mg  0.7030  0.5000  0.8059
Mg  0.9451  0.0000  0.4739
Cd  0.1425  0.5000  0.2768
Cd  0.5020  0.0000  0.9950



[3]
Density functional theory data (PBE) for a relaxed structure of PrBePO.

Computed properties:
Raw total energy   -6.201 eV per atom
Energy above the lowest structure with this stoichiometry   320.0 meV per atom

Cell lengths 3.1381, 5.4910, 7.0287 Å; angles 90.00, 90.00, 90.00 degrees
Element x y z (fractional)
Pr  0.0000  0.1881  0.0000
Pr  0.0000  0.8119  0.5000
Be  0.5000  0.3058  0.3707
Be  0.5000  0.6942  0.8707
P  0.5000  0.3672  0.6756
P  0.5000  0.6328  0.1756
O  0.0000  0.1828  0.3334
O  0.0000  0.8172  0.8334